(1)
# PSIN2 (PBE-GGA, optimized geometry)
# size of the total moment: 0.59 μB per formula unit
# energy above the most stable polymorph in this dataset: 0 meV per atom
# DOS(E_F): 2.68 states/eV per cell
# raw formation energy: 5.9 eV per formula unit
data_PSIN2
_space_group_name_H-M_alt 'P 4/m m m'
_space_group_IT_number 123
_space_group_name_Hall '-P 4 2'
_cell_length_a 3.591
_cell_length_b 3.591
_cell_length_c 6.197
_cell_angle_alpha 90.00
_cell_angle_beta 90.00
_cell_angle_gamma 90.00
loop_
_atom_site_label
_atom_site_fract_x
_atom_site_fract_y
_atom_site_fract_z
_atom_site_occupancy
P1 0.000 0.000 0.000 1
S1 0.000 0.000 0.500 1
I1 0.500 0.500 0.500 1
N1 0.000 0.500 0.000 1

=====

(2)
# PSI2N (PBE-GGA, optimized geometry)
# size of the total moment: 0.00 μB per formula unit
# energy above the most stable polymorph in this dataset: 340 meV per atom
# DOS(E_F): 3.67 states/eV per cell
# raw formation energy: 6.1 eV per formula unit
data_PSI2N
_space_group_name_H-M_alt 'P 4/m m m'
_space_group_IT_number 123
_space_group_name_Hall '-P 4 2'
_cell_length_a 6.091
_cell_length_b 6.091
_cell_length_c 3.295
_cell_angle_alpha 90.00
_cell_angle_beta 90.00
_cell_angle_gamma 90.00
loop_
_atom_site_label
_atom_site_fract_x
_atom_site_fract_y
_atom_site_fract_z
_atom_site_occupancy
P1 0.000 0.000 0.000 1
S1 0.500 0.500 0.500 1
I1 0.000 0.500 0.500 1
N1 0.500 0.500 0.000 1

=====

(3)
# PSIN2 (PBE-GGA, optimized geometry)
# size of the total moment: 1.08 μB per formula unit
# energy above the most stable polymorph in this dataset: 911 meV per atom
# DOS(E_F): 1.70 states/eV per cell
# raw formation energy: 10.4 eV per formula unit
data_PSIN2
_space_group_name_H-M_alt 'P 4/m m m'
_space_group_IT_number 123
_space_group_name_Hall '-P 4 2'
_cell_length_a 3.865
_cell_length_b 3.865
_cell_length_c 6.880
_cell_angle_alpha 90.00
_cell_angle_beta 90.00
_cell_angle_gamma 90.00
loop_
_atom_site_label
_atom_site_fract_x
_atom_site_fract_y
_atom_site_fract_z
_atom_site_occupancy
P1 0.000 0.000 0.000 1
S1 0.500 0.500 0.000 1
I1 0.500 0.500 0.500 1
N1 0.000 0.500 0.500 1

=====

(4)
# P2SIN (PBE-GGA, optimized geometry)
# size of the total moment: 5.40 μB per formula unit
# energy above the most stable polymorph in this dataset: 1147 meV per atom
# DOS(E_F): 4.01 states/eV per cell
# raw formation energy: 12.1 eV per formula unit
data_P2SIN
_space_group_name_H-M_alt 'P 4/m m m'
_space_group_IT_number 123
_space_group_name_Hall '-P 4 2'
_cell_length_a 5.388
_cell_length_b 5.388
_cell_length_c 5.215
_cell_angle_alpha 90.00
_cell_angle_beta 90.00
_cell_angle_gamma 90.00
loop_
_atom_site_label
_atom_site_fract_x
_atom_site_fract_y
_atom_site_fract_z
_atom_site_occupancy
P1 0.000 0.500 0.000 1
S1 0.000 0.000 0.500 1
I1 0.000 0.000 0.000 1
N1 0.500 0.500 0.500 1

=====

(5)
# PSI2N (PBE-GGA, optimized geometry)
# size of the total moment: 0.15 μB per formula unit
# energy above the most stable polymorph in this dataset: 0 meV per atom
# DOS(E_F): 5.76 states/eV per cell
# raw formation energy: 4.4 eV per formula unit
data_PSI2N
_space_group_name_H-M_alt 'P 4/m m m'
_space_group_IT_number 123
_space_group_name_Hall '-P 4 2'
_cell_length_a 6.028
_cell_length_b 6.028
_cell_length_c 3.247
_cell_angle_alpha 90.00
_cell_angle_beta 90.00
_cell_angle_gamma 90.00
loop_
_atom_site_label
_atom_site_fract_x
_atom_site_fract_y
_atom_site_fract_z
_atom_site_occupancy
P1 0.000 0.000 0.000 1
S1 0.500 0.500 0.500 1
I1 0.000 0.500 0.000 1
N1 0.000 0.000 0.500 1

=====

(6)
# P2SIN (PBE-GGA, optimized geometry)
# size of the total moment: 0.00 μB per formula unit
# energy above the most stable polymorph in this dataset: 0 meV per atom
# DOS(E_F): 2.03 states/eV per cell
# raw formation energy: 6.4 eV per formula unit
data_P2SIN
_space_group_name_H-M_alt 'P 4/m m m'
_space_group_IT_number 123
_space_group_name_Hall '-P 4 2'
_cell_length_a 4.304
_cell_length_b 4.304
_cell_length_c 4.377
_cell_angle_alpha 90.00
_cell_angle_beta 90.00
_cell_angle_gamma 90.00
loop_
_atom_site_label
_atom_site_fract_x
_atom_site_fract_y
_atom_site_fract_z
_atom_site_occupancy
P1 0.000 0.500 0.000 1
S1 0.000 0.000 0.500 1
I1 0.500 0.500 0.500 1
N1 0.000 0.000 0.000 1

=====

(7)
# SbPIN2 (PBE-GGA, optimized geometry)
# size of the total moment: 1.01 μB per formula unit
# energy above the most stable polymorph in this dataset: 0 meV per atom
# DOS(E_F): 2.49 states/eV per cell
# raw formation energy: 7.1 eV per formula unit
data_SbPIN2
_space_group_name_H-M_alt 'P 4/m m m'
_space_group_IT_number 123
_space_group_name_Hall '-P 4 2'
_cell_length_a 3.953
_cell_length_b 3.953
_cell_length_c 5.543
_cell_angle_alpha 90.00
_cell_angle_beta 90.00
_cell_angle_gamma 90.00
loop_
_atom_site_label
_atom_site_fract_x
_atom_site_fract_y
_atom_site_fract_z
_atom_site_occupancy
Sb1 0.000 0.000 0.000 1
P1 0.000 0.000 0.500 1
I1 0.500 0.500 0.000 1
N1 0.000 0.500 0.500 1

=====

(8)
# SbPIN2 (PBE-GGA, optimized geometry)
# size of the total moment: 0.41 μB per formula unit
# energy above the most stable polymorph in this dataset: 197 meV per atom
# DOS(E_F): 3.69 states/eV per cell
# raw formation energy: 8.1 eV per formula unit
data_SbPIN2
_space_group_name_H-M_alt 'P 4/m m m'
_space_group_IT_number 123
_space_group_name_Hall '-P 4 2'
_cell_length_a 4.052
_cell_length_b 4.052
_cell_length_c 5.157
_cell_angle_alpha 90.00
_cell_angle_beta 90.00
_cell_angle_gamma 90.00
loop_
_atom_site_label
_atom_site_fract_x
_atom_site_fract_y
_atom_site_fract_z
_atom_site_occupancy
Sb1 0.000 0.000 0.000 1
P1 0.500 0.500 0.500 1
I1 0.500 0.500 0.000 1
N1 0.000 0.500 0.500 1

=====

(9)
# SbPIN2 (PBE-GGA, optimized geometry)
# size of the total moment: 2.22 μB per formula unit
# energy above the most stable polymorph in this dataset: 114 meV per atom
# DOS(E_F): 2.11 states/eV per cell
# raw formation energy: 7.7 eV per formula unit
data_SbPIN2
_space_group_name_H-M_alt 'P 4/m m m'
_space_group_IT_number 123
_space_group_name_Hall '-P 4 2'
_cell_length_a 4.046
_cell_length_b 4.046
_cell_length_c 7.395
_cell_angle_alpha 90.00
_cell_angle_beta 90.00
_cell_angle_gamma 90.00
loop_
_atom_site_label
_atom_site_fract_x
_atom_site_fract_y
_atom_site_fract_z
_atom_site_occupancy
Sb1 0.000 0.000 0.000 1
P1 0.500 0.500 0.500 1
I1 0.000 0.000 0.500 1
N1 0.000 0.500 0.000 1

=====

(10)
# SbPI2N (PBE-GGA, optimized geometry)
# size of the total moment: 0.00 μB per formula unit
# energy above the most stable polymorph in this dataset: 0 meV per atom
# DOS(E_F): 3.46 states/eV per cell
# raw formation energy: 3.1 eV per formula unit
data_SbPI2N
_space_group_name_H-M_alt 'P 4/m m m'
_space_group_IT_number 123
_space_group_name_Hall '-P 4 2'
_cell_length_a 6.331
_cell_length_b 6.331
_cell_length_c 3.332
_cell_angle_alpha 90.00
_cell_angle_beta 90.00
_cell_angle_gamma 90.00
loop_
_atom_site_label
_atom_site_fract_x
_atom_site_fract_y
_atom_site_fract_z
_atom_site_occupancy
Sb1 0.000 0.000 0.000 1
P1 0.500 0.500 0.500 1
I1 0.000 0.500 0.500 1
N1 0.500 0.500 0.000 1

=====

(11)
# SbPI2N (PBE-GGA, optimized geometry)
# size of the total moment: 0.00 μB per formula unit
# energy above the most stable polymorph in this dataset: 598 meV per atom
# DOS(E_F): 4.44 states/eV per cell
# raw formation energy: 6.1 eV per formula unit
data_SbPI2N
_space_group_name_H-M_alt 'P 4/m m m'
_space_group_IT_number 123
_space_group_name_Hall '-P 4 2'
_cell_length_a 4.808
_cell_length_b 4.808
_cell_length_c 5.035
_cell_angle_alpha 90.00
_cell_angle_beta 90.00
_cell_angle_gamma 90.00
loop_
_atom_site_label
_atom_site_fract_x
_atom_site_fract_y
_atom_site_fract_z
_atom_site_occupancy
Sb1 0.000 0.000 0.000 1
P1 0.500 0.500 0.000 1
I1 0.000 0.500 0.500 1
N1 0.000 0.000 0.500 1

=====

(12)
# SbPI2N (PBE-GGA, optimized geometry)
# size of the total moment: 0.00 μB per formula unit
# energy above the most stable polymorph in this dataset: 533 meV per atom
# DOS(E_F): 4.37 states/eV per cell
# raw formation energy: 5.8 eV per formula unit
data_SbPI2N
_space_group_name_H-M_alt 'P 4/m m m'
_space_group_IT_number 123
_space_group_name_Hall '-P 4 2'
_cell_length_a 4.907
_cell_length_b 4.907
_cell_length_c 4.617
_cell_angle_alpha 90.00
_cell_angle_beta 90.00
_cell_angle_gamma 90.00
loop_
_atom_site_label
_atom_site_fract_x
_atom_site_fract_y
_atom_site_fract_z
_atom_site_occupancy
Sb1 0.000 0.000 0.000 1
P1 0.500 0.500 0.000 1
I1 0.000 0.500 0.500 1
N1 0.500 0.500 0.500 1

=====

(13)
# SbPI2N (PBE-GGA, optimized geometry)
# size of the total moment: 2.12 μB per formula unit
# energy above the most stable polymorph in this dataset: 523 meV per atom
# DOS(E_F): 4.90 states/eV per cell
# raw formation energy: 5.8 eV per formula unit
data_SbPI2N
_space_group_name_H-M_alt 'P 4/m m m'
_space_group_IT_number 123
_space_group_name_Hall '-P 4 2'
_cell_length_a 6.201
_cell_length_b 6.201
_cell_length_c 3.955
_cell_angle_alpha 90.00
_cell_angle_beta 90.00
_cell_angle_gamma 90.00
loop_
_atom_site_label
_atom_site_fract_x
_atom_site_fract_y
_atom_site_fract_z
_atom_site_occupancy
Sb1 0.000 0.000 0.000 1
P1 0.500 0.500 0.500 1
I1 0.000 0.500 0.000 1
N1 0.000 0.000 0.500 1

=====

(14)
# SbP2IN (PBE-GGA, optimized geometry)
# size of the total moment: 0.00 μB per formula unit
# DOS(E_F): 2.89 states/eV per cell
# raw formation energy: 5.6 eV per formula unit
data_SbP2IN
_space_group_name_H-M_alt 'P 4/m m m'
_space_group_IT_number 123
_space_group_name_Hall '-P 4 2'
_cell_length_a 4.402
_cell_length_b 4.402
_cell_length_c 4.845
_cell_angle_alpha 90.00
_cell_angle_beta 90.00
_cell_angle_gamma 90.00
loop_
_atom_site_label
_atom_site_fract_x
_atom_site_fract_y
_atom_site_fract_z
_atom_site_occupancy
Sb1 0.000 0.000 0.000 1
P1 0.000 0.500 0.500 1
I1 0.500 0.500 0.000 1
N1 0.000 0.000 0.500 1

=====

(15)
# ScPIN2 (PBE-GGA, optimized geometry)
# size of the total moment: 0.00 μB per formula unit
# energy above the most stable polymorph in this dataset: 0 meV per atom
# DOS(E_F): 3.44 states/eV per cell
# raw formation energy: 4.6 eV per formula unit
data_ScPIN2
_space_group_name_H-M_alt 'P 4/m m m'
_space_group_IT_number 123
_space_group_name_Hall '-P 4 2'
_cell_length_a 3.856
_cell_length_b 3.856
_cell_length_c 5.198
_cell_angle_alpha 90.00
_cell_angle_beta 90.00
_cell_angle_gamma 90.00
loop_
_atom_site_label
_atom_site_fract_x
_atom_site_fract_y
_atom_site_fract_z
_atom_site_occupancy
Sc1 0.000 0.000 0.000 1
P1 0.500 0.500 0.500 1
I1 0.500 0.500 0.000 1
N1 0.000 0.500 0.500 1

=====

(16)
# ScPIN2 (PBE-GGA, optimized geometry)
# size of the total moment: 1.94 μB per formula unit
# energy above the most stable polymorph in this dataset: 97 meV per atom
# DOS(E_F): 2.63 states/eV per cell
# raw formation energy: 5.1 eV per formula unit
data_ScPIN2
_space_group_name_H-M_alt 'P 4/m m m'
_space_group_IT_number 123
_space_group_name_Hall '-P 4 2'
_cell_length_a 4.108
_cell_length_b 4.108
_cell_length_c 6.390
_cell_angle_alpha 90.00
_cell_angle_beta 90.00
_cell_angle_gamma 90.00
loop_
_atom_site_label
_atom_site_fract_x
_atom_site_fract_y
_atom_site_fract_z
_atom_site_occupancy
Sc1 0.000 0.000 0.000 1
P1 0.500 0.500 0.500 1
I1 0.000 0.000 0.500 1
N1 0.000 0.500 0.000 1

=====

(17)
# PSeIN2 (PBE-GGA, optimized geometry)
# size of the total moment: 0.00 μB per formula unit
# energy above the most stable polymorph in this dataset: 0 meV per atom
# DOS(E_F): 2.45 states/eV per cell
# raw formation energy: 6.3 eV per formula unit
data_PSeIN2
_space_group_name_H-M_alt 'P 4/m m m'
_space_group_IT_number 123
_space_group_name_Hall '-P 4 2'
_cell_length_a 3.707
_cell_length_b 3.707
_cell_length_c 6.308
_cell_angle_alpha 90.00
_cell_angle_beta 90.00
_cell_angle_gamma 90.00
loop_
_atom_site_label
_atom_site_fract_x
_atom_site_fract_y
_atom_site_fract_z
_atom_site_occupancy
P1 0.000 0.000 0.000 1
Se1 0.000 0.000 0.500 1
I1 0.500 0.500 0.500 1
N1 0.000 0.500 0.000 1

=====

(18)
# PSeIN2 (PBE-GGA, optimized geometry)
# size of the total moment: 0.87 μB per formula unit
# energy above the most stable polymorph in this dataset: 710 meV per atom
# DOS(E_F): 2.15 states/eV per cell
# raw formation energy: 9.8 eV per formula unit
data_PSeIN2
_space_group_name_H-M_alt 'P 4/m m m'
_space_group_IT_number 123
_space_group_name_Hall '-P 4 2'
_cell_length_a 3.891
_cell_length_b 3.891
_cell_length_c 7.308
_cell_angle_alpha 90.00
_cell_angle_beta 90.00
_cell_angle_gamma 90.00
loop_
_atom_site_label
_atom_site_fract_x
_atom_site_fract_y
_atom_site_fract_z
_atom_site_occupancy
P1 0.000 0.000 0.000 1
Se1 0.500 0.500 0.000 1
I1 0.500 0.500 0.500 1
N1 0.000 0.500 0.500 1

=====

(19)
# PSeIN2 (PBE-GGA, optimized geometry)
# size of the total moment: 0.42 μB per formula unit
# energy above the most stable polymorph in this dataset: 495 meV per atom
# DOS(E_F): 3.97 states/eV per cell
# raw formation energy: 8.8 eV per formula unit
data_PSeIN2
_space_group_name_H-M_alt 'P 4/m m m'
_space_group_IT_number 123
_space_group_name_Hall '-P 4 2'
_cell_length_a 3.810
_cell_length_b 3.810
_cell_length_c 8.281
_cell_angle_alpha 90.00
_cell_angle_beta 90.00
_cell_angle_gamma 90.00
loop_
_atom_site_label
_atom_site_fract_x
_atom_site_fract_y
_atom_site_fract_z
_atom_site_occupancy
P1 0.000 0.000 0.000 1
Se1 0.500 0.500 0.500 1
I1 0.500 0.500 0.000 1
N1 0.000 0.500 0.500 1

=====

(20)
# SiPI2N (PBE-GGA, optimized geometry)
# size of the total moment: 0.00 μB per formula unit
# energy above the most stable polymorph in this dataset: 0 meV per atom
# DOS(E_F): 2.58 states/eV per cell
# raw formation energy: 3.5 eV per formula unit
data_SiPI2N
_space_group_name_H-M_alt 'P 4/m m m'
_space_group_IT_number 123
_space_group_name_Hall '-P 4 2'
_cell_length_a 5.790
_cell_length_b 5.790
_cell_length_c 3.294
_cell_angle_alpha 90.00
_cell_angle_beta 90.00
_cell_angle_gamma 90.00
loop_
_atom_site_label
_atom_site_fract_x
_atom_site_fract_y
_atom_site_fract_z
_atom_site_occupancy
Si1 0.000 0.000 0.000 1
P1 0.500 0.500 0.500 1
I1 0.000 0.500 0.000 1
N1 0.000 0.000 0.500 1

=====

| no. | electronic total energy (eV/atom) |
| --- | --- |
| 1 | -4.38 |
| 2 | -2.98 |
| 3 | -3.47 |
| 4 | -2.54 |
| 5 | -3.32 |
| 6 | -3.69 |
| 7 | -4.12 |
| 8 | -3.93 |
| 9 | -4.01 |
| 10 | -3.56 |
| 11 | -2.96 |
| 12 | -3.03 |
| 13 | -3.04 |
| 14 | -3.84 |
| 15 | -5.07 |
| 16 | -4.97 |
| 17 | -4.16 |
| 18 | -3.45 |
| 19 | -3.67 |
| 20 | -3.76 |